No. 1
First-principles (PBE) data for KBaSeBr after structural relaxation, as listed in Alexandria. Values from VASP.

Structure (Quantum ESPRESSO input):
```
&SYSTEM
  ibrav = 0, nat = 4, ntyp = 4
/
ATOMIC_SPECIES
K 39.10 K.upf
Se 78.96 Se.upf
Ba 137.33 Ba.upf
Br 79.90 Br.upf
CELL_PARAMETERS angstrom
5.659 0.000 0.000
2.829 4.900 0.000
2.829 1.633 4.620
ATOMIC_POSITIONS crystal
K 0.000 0.000 0.000
Se 0.250 0.250 0.250
Ba 0.500 0.500 0.500
Br 0.750 0.750 0.750
```

## Properties
formation energy without anion corrections = -1.716 eV per atom
energy above the lowest structure with this stoichiometry = 130 meV per atom
DFT total energy = -15.041 eV per formula unit
space-group type = F-43m, No. 216
volume = 128.11 Å³ per cell

No. 2
First-principles (PBE) data for KBaSeBr after structural relaxation, as listed in Alexandria. Values from VASP.

Structure (Quantum ESPRESSO input):
```
&SYSTEM
  ibrav = 0, nat = 4, ntyp = 4
/
ATOMIC_SPECIES
K 39.10 K.upf
Ba 137.33 Ba.upf
Se 78.96 Se.upf
Br 79.90 Br.upf
CELL_PARAMETERS angstrom
4.690 0.000 0.000
0.000 4.690 0.000
0.000 0.000 6.762
ATOMIC_POSITIONS crystal
K 0.000 0.000 0.500
Ba 0.500 0.500 0.000
Se 0.000 0.000 0.000
Br 0.500 0.500 0.500
```

## Properties
formation energy without anion corrections = -1.846 eV per atom
energy above the lowest structure with this stoichiometry = 0 meV per atom
DFT total energy = -15.560 eV per formula unit
space-group type = P4/mmm, No. 123
volume = 148.76 Å³ per cell

No. 3
First-principles (PBE) data for KBa2SiBr after structural relaxation, as listed in Alexandria. Values from VASP.

Structure (Quantum ESPRESSO input):
```
&SYSTEM
  ibrav = 0, nat = 5, ntyp = 4
/
ATOMIC_SPECIES
K 39.10 K.upf
Si 28.09 Si.upf
Ba 137.33 Ba.upf
Br 79.90 Br.upf
CELL_PARAMETERS angstrom
6.336 0.000 0.000
0.000 6.336 0.000
0.000 0.000 5.558
ATOMIC_POSITIONS crystal
K 0.500 0.500 0.500
Si 0.000 0.000 0.500
Ba 0.000 0.500 0.000
Ba 0.500 0.000 0.000
Br 0.000 0.000 0.000
```

## Properties
formation energy without anion corrections = -0.162 eV per atom
DFT total energy = -12.848 eV per formula unit
space-group type = P4/mmm, No. 123
volume = 223.13 Å³ per cell

No. 4
First-principles (PBE) data for K2BaSrBr after structural relaxation, as listed in Alexandria. Values from VASP.

Structure (Quantum ESPRESSO input):
```
&SYSTEM
  ibrav = 0, nat = 5, ntyp = 4
/
ATOMIC_SPECIES
Sr 87.62 Sr.upf
K 39.10 K.upf
Ba 137.33 Ba.upf
Br 79.90 Br.upf
CELL_PARAMETERS angstrom
-5.009 -0.861 -4.309
3.594 -4.099 -3.359
-2.306 -5.047 3.690
ATOMIC_POSITIONS crystal
Sr 0.000 0.500 0.000
K 0.000 0.000 0.500
K 0.500 0.000 0.000
Ba 0.500 0.500 0.500
Br 0.000 0.000 0.000
```

## Properties
formation energy without anion corrections = -0.472 eV per atom
energy above the lowest structure with this stoichiometry = 40 meV per atom
DFT total energy = -9.834 eV per formula unit
space-group type = P4/mmm, No. 123
volume = 284.32 Å³ per cell

No. 5
First-principles (PBE) data for K2BaSrBr after structural relaxation, as listed in Alexandria. Values from VASP.

Structure (Quantum ESPRESSO input):
```
&SYSTEM
  ibrav = 0, nat = 5, ntyp = 4
/
ATOMIC_SPECIES
Sr 87.62 Sr.upf
K 39.10 K.upf
Ba 137.33 Ba.upf
Br 79.90 Br.upf
CELL_PARAMETERS angstrom
6.592 0.000 0.000
0.000 6.592 0.000
0.000 0.000 6.641
ATOMIC_POSITIONS crystal
Sr 0.500 0.500 0.500
K 0.000 0.500 0.000
K 0.500 0.000 0.000
Ba 0.000 0.000 0.500
Br 0.000 0.000 0.000
```

## Properties
formation energy without anion corrections = -0.513 eV per atom
energy above the lowest structure with this stoichiometry = 0 meV per atom
DFT total energy = -10.037 eV per formula unit
space-group type = P4/mmm, No. 123
volume = 288.59 Å³ per cell

No. 6
First-principles (PBE) data for K2BaSrBr6 after structural relaxation, as listed in Alexandria. Values from VASP.

Structure (Quantum ESPRESSO input):
```
&SYSTEM
  ibrav = 0, nat = 20, ntyp = 4
/
ATOMIC_SPECIES
K 39.10 K.upf
Ba 137.33 Ba.upf
Sr 87.62 Sr.upf
Br 79.90 Br.upf
CELL_PARAMETERS angstrom
8.086 0.000 -0.051
0.000 8.576 0.000
-0.002 0.000 11.594
ATOMIC_POSITIONS crystal
K 0.029 0.922 0.250
K 0.529 0.578 0.750
K 0.971 0.078 0.750
K 0.471 0.422 0.250
Ba 0.500 0.000 0.000
Ba 0.000 0.500 0.500
Sr 0.500 0.000 0.500
Sr 0.000 0.500 0.000
Br 0.302 0.690 0.073
Br 0.802 0.810 0.573
Br 0.698 0.310 0.927
Br 0.198 0.190 0.427
Br 0.317 0.703 0.423
Br 0.817 0.797 0.923
Br 0.683 0.297 0.577
Br 0.183 0.203 0.077
Br 0.858 0.564 0.242
Br 0.358 0.936 0.742
Br 0.142 0.436 0.758
Br 0.642 0.064 0.258
```

## Properties
formation energy without anion corrections = -1.982 eV per atom
DFT total energy = -35.657 eV per formula unit
space-group type = P2_1/c, No. 14
volume = 803.91 Å³ per cell

No. 7
First-principles (PBE) data for KBaTbBr6 after structural relaxation, as listed in Alexandria. Values from VASP.

Structure (Quantum ESPRESSO input):
```
&SYSTEM
  ibrav = 0, nat = 18, ntyp = 4
/
ATOMIC_SPECIES
K 39.10 K.upf
Ba 137.33 Ba.upf
Tb 158.93 Tb.upf
Br 79.90 Br.upf
CELL_PARAMETERS angstrom
-0.164 6.275 4.942
0.747 -7.388 2.948
13.631 1.035 -0.860
ATOMIC_POSITIONS crystal
K 0.000 0.000 0.000
K 0.000 0.000 0.500
Ba 0.333 0.667 0.250
Ba 0.667 0.333 0.750
Tb 0.667 0.333 0.250
Tb 0.333 0.667 0.750
Br 0.660 0.620 0.131
Br 0.960 0.340 0.131
Br 0.340 0.960 0.631
Br 0.040 0.660 0.869
Br 0.380 0.340 0.369
Br 0.960 0.620 0.369
Br 0.620 0.960 0.869
Br 0.660 0.040 0.369
Br 0.040 0.380 0.631
Br 0.380 0.040 0.131
Br 0.620 0.660 0.631
Br 0.340 0.380 0.869
```

## Properties
formation energy without anion corrections = -1.960 eV per atom
DFT total energy = -35.328 eV per formula unit
space-group type = P-31c, No. 163
volume = 757.16 Å³ per cell

No. 8
First-principles (PBE) data for KBaTeBr after structural relaxation, as listed in Alexandria. Values from VASP.

Structure (Quantum ESPRESSO input):
```
&SYSTEM
  ibrav = 0, nat = 4, ntyp = 4
/
ATOMIC_SPECIES
K 39.10 K.upf
Te 127.60 Te.upf
Ba 137.33 Ba.upf
Br 79.90 Br.upf
CELL_PARAMETERS angstrom
-3.503 -4.476 1.536
-1.596 -4.001 -4.014
2.162 -5.470 0.274
ATOMIC_POSITIONS crystal
K 0.500 0.500 0.500
Te 0.750 0.750 0.750
Ba 0.000 0.000 0.000
Br 0.250 0.250 0.250
```

## Properties
formation energy without anion corrections = -1.618 eV per atom
energy above the lowest structure with this stoichiometry = 67 meV per atom
DFT total energy = -14.308 eV per formula unit
space-group type = F-43m, No. 216
volume = 144.31 Å³ per cell

No. 9
First-principles (PBE) data for KBaTeBr after structural relaxation, as listed in Alexandria. Values from VASP.

Structure (Quantum ESPRESSO input):
```
&SYSTEM
  ibrav = 0, nat = 4, ntyp = 4
/
ATOMIC_SPECIES
K 39.10 K.upf
Ba 137.33 Ba.upf
Te 127.60 Te.upf
Br 79.90 Br.upf
CELL_PARAMETERS angstrom
4.987 0.000 0.000
2.493 4.319 0.000
2.493 1.440 7.973
ATOMIC_POSITIONS crystal
K 0.504 0.504 0.489
Ba 0.997 0.997 0.010
Te 0.254 0.254 0.237
Br 0.745 0.745 0.764
```

## Properties
formation energy without anion corrections = -1.685 eV per atom
energy above the lowest structure with this stoichiometry = 0 meV per atom
DFT total energy = -14.575 eV per formula unit
space-group type = R3m, No. 160
volume = 171.70 Å³ per cell

No. 10
First-principles (PBE) data for KBa2TlBr8 after structural relaxation, as listed in Alexandria. Values from VASP.

Structure (Quantum ESPRESSO input):
```
&SYSTEM
  ibrav = 0, nat = 12, ntyp = 4
/
ATOMIC_SPECIES
K 39.10 K.upf
Ba 137.33 Ba.upf
Tl 204.38 Tl.upf
Br 79.90 Br.upf
CELL_PARAMETERS angstrom
7.173 -0.046 -0.002
-0.012 7.117 -0.006
0.009 0.014 9.798
ATOMIC_POSITIONS crystal
K 0.000 0.000 0.500
Ba 0.500 0.499 0.756
Ba 0.500 0.501 0.244
Tl 0.000 0.000 0.000
Br 0.131 0.770 0.209
Br 0.661 0.773 0.999
Br 0.867 0.229 0.209
Br 0.869 0.230 0.791
Br 0.339 0.227 0.001
Br 0.133 0.771 0.791
Br 0.627 0.747 0.500
Br 0.373 0.253 0.500
```

## Properties
formation energy without anion corrections = -1.493 eV per atom
DFT total energy = -38.604 eV per formula unit
space-group type = P-1, No. 2
volume = 500.22 Å³ per cell

> formation energy without anion corrections of number 6 (K2BaSrBr6)?

-1.982 eV per atom

> Among the records above, which one has the lowest formation energy without anion corrections?

K2BaSrBr6

> The lowest formation energy without anion corrections belongs to which entry?

K2BaSrBr6